Computed, not measured: a geometry-optimized Li2TcOs structure at the PBE-GGA level of DFT.

abc: 3.2010 3.2010 4.9938
angles: 90.00 90.00 90.00
With the nearest neighbours (Å) after each atom.
Space group P4/mmm (No. 123)
Unique sites:
Li (0.0000, 0.0000, 0.2414) [2 per cell]  2 Li 2.41-2.58, 4 Os 2.56, 4 Tc 2.61
Tc (0.5000, 0.5000, 0.5000) [1 per cell]  2 Os 2.50, 8 Li 2.61
Os (0.5000, 0.5000, 0.0000) [1 per cell]  2 Tc 2.50, 8 Li 2.56

Properties
M_tot ... 0.09 μB per atom
Energy above the most stable polymorph in this dataset ... 2.095 eV per formula unit
Formation energy from the elements ... 633 meV per atom